No. 1
# PBE Tb3Dy8Er3, optimized geometry
data_Tb3Dy8Er3
_cell_length_a 5.580
_cell_length_b 10.711
_cell_length_c 14.815
_cell_angle_alpha 90.00
_cell_angle_beta 90.00
_cell_angle_gamma 90.00
_symmetry_space_group_name_H-M 'I m m m'
_symmetry_Int_Tables_number 71
_symmetry_space_group_name_Hall '-I 2 2'
loop_
_atom_site_label
_atom_site_fract_x
_atom_site_fract_y
_atom_site_fract_z
_atom_site_occupancy
Tb1 0.000 0.000 0.000 1
Tb2 0.000 0.500 0.319 1
Dy1 0.000 0.159 0.278 1
Dy2 0.000 0.341 0.103 1
Er1 0.000 0.000 0.500 1
Er2 0.000 0.297 0.500 1
# Energy relative to the lowest polymorph listed for this composition (meV per atom): 0
# DOS at the Fermi energy (states/eV/cell): 40.9
# DFT formation energy (eV/atom): 0.113
# Mass density (Mg/m³): 8.55


No. 2
# PBE TbCo4Sn12, optimized geometry
data_TbCo4Sn12
_cell_length_a 9.210
_cell_length_b 9.210
_cell_length_c 9.210
_cell_angle_alpha 90.00
_cell_angle_beta 90.00
_cell_angle_gamma 90.00
_symmetry_space_group_name_H-M 'I m -3'
_symmetry_Int_Tables_number 204
_symmetry_space_group_name_Hall '-I 2 2 3'
loop_
_atom_site_label
_atom_site_fract_x
_atom_site_fract_y
_atom_site_fract_z
_atom_site_occupancy
Tb1 0.000 0.000 0.000 1
Co1 0.250 0.250 0.250 1
Sn1 0.000 0.169 0.329 1
# DOS at the Fermi energy (states/eV/cell): 35.1
# DFT formation energy (eV/atom): -0.086
# Mass density (Mg/m³): 7.73


No. 3
# PBE Y2CdSiC, optimized geometry
data_Y2CdSiC
_cell_length_a 5.574
_cell_length_b 5.574
_cell_length_c 4.510
_cell_angle_alpha 90.00
_cell_angle_beta 90.00
_cell_angle_gamma 90.00
_symmetry_space_group_name_H-M 'P 4/m m m'
_symmetry_Int_Tables_number 123
_symmetry_space_group_name_Hall '-P 4 2'
loop_
_atom_site_label
_atom_site_fract_x
_atom_site_fract_y
_atom_site_fract_z
_atom_site_occupancy
Y1 0.000 0.500 0.000 1
Cd1 0.000 0.000 0.000 1
Si1 0.000 0.000 0.500 1
C1 0.500 0.500 0.500 1
# DOS at the Fermi energy (states/eV/cell): 4.0
# Mass density (Mg/m³): 3.91
# Energy (eV/cell): -20.434


No. 4
# PBE Nb3SnP, optimized geometry
data_Nb3SnP
_cell_length_a 4.653
_cell_length_b 4.653
_cell_length_c 4.653
_cell_angle_alpha 90.00
_cell_angle_beta 90.00
_cell_angle_gamma 90.00
_symmetry_space_group_name_H-M 'P m -3 m'
_symmetry_Int_Tables_number 221
_symmetry_space_group_name_Hall '-P 4 2 3'
loop_
_atom_site_label
_atom_site_fract_x
_atom_site_fract_y
_atom_site_fract_z
_atom_site_occupancy
Nb1 0.000 0.000 0.500 1
Sn1 0.500 0.500 0.500 1
P1 0.000 0.000 0.000 1
# Energy relative to the lowest polymorph listed for this composition (meV per atom): 285
# DOS at the Fermi energy (states/eV/cell): 4.1
# DFT formation energy (eV/atom): 0.075
# Mass density (Mg/m³): 7.06